Entry 1:
A plane-wave DFT calculation with GGA-PBE was carried out for a geometry-optimized MnHgB3 structure.

```
MnHgB3
1.0
4.352 0.000 0.000
0.000 4.352 0.000
0.000 0.000 4.352
B Mn Hg
3 1 1
Cartesian
0.000 2.176 0.000
0.000 0.000 2.176
2.176 0.000 0.000
2.176 2.176 2.176
0.000 0.000 0.000
```

## Properties
Energy above the lowest structure with this stoichiometry: 1.305 eV/atom
Calculated formation energy: 2.4161 eV per atom
DOS at the Fermi energy: 2.69 states/eV per cell
Density: 5800 kg/m3
Crystal system: cubic

---

Entry 2:
A plane-wave DFT calculation with GGA-PBE was carried out for a geometry-optimized Mn2HgB structure.

```
Mn2HgB
1.0
6.473 0.000 0.000
0.000 6.473 0.000
3.236 3.236 2.726
B Mn Hg
2 4 2
Cartesian
3.236 3.236 0.000
3.236 6.473 1.363
2.176 1.618 0.682
4.296 4.854 0.682
4.854 7.533 2.045
8.091 5.413 2.045
0.000 0.000 0.000
6.473 3.236 1.363
```

## Properties
Energy above the lowest structure with this stoichiometry: 0.000 eV/atom
Calculated formation energy: 0.4906 eV per atom
DOS at the Fermi energy: 6.82 states/eV per cell
Density: 9342 kg/m3
Crystal system: tetragonal

---

Entry 3:
A plane-wave DFT calculation with GGA-PBE was carried out for a geometry-optimized MnHg2B structure.

```
MnHg2B
1.0
-3.255 -1.099 -2.228
2.120 -3.142 -1.547
-3.414 -7.363 4.858
B Mn Hg
2 2 4
Cartesian
-0.567 -2.120 -1.888
-0.931 -6.313 0.711
0.000 0.000 0.000
-3.618 -5.291 0.371
-2.576 -2.904 -0.339
0.017 -3.958 -0.063
-2.956 -7.158 2.205
-3.584 -9.187 0.362
```

## Properties
Calculated formation energy: 1.0777 eV per atom
DOS at the Fermi energy: 4.15 states/eV per cell
Density: 10274 kg/m3
Crystal system: tetragonal

---

Entry 4:
A plane-wave DFT calculation with GGA-PBE was carried out for a geometry-optimized Mn2HgB structure.

```
Mn2HgB
1.0
-2.767 -3.253 0.545
-4.239 0.752 -0.032
-2.402 -1.359 -3.304
B Mn Hg
1 2 1
Cartesian
0.000 0.000 0.000
-2.352 -0.965 -0.698
-7.056 -2.894 -2.094
-4.704 -1.930 -1.396
```

## Properties
Energy above the lowest structure with this stoichiometry: 0.360 eV/atom
Calculated formation energy: 0.8504 eV per atom
DOS at the Fermi energy: 2.93 states/eV per cell
Density: 9456 kg/m3
Crystal system: cubic

---

Entry 5:
A plane-wave DFT calculation with GGA-PBE was carried out for a geometry-optimized MnHg3B structure.

```
MnHg3B
1.0
5.208 0.000 0.000
0.000 5.208 0.000
0.000 0.000 5.208
B Mn Hg
1 1 3
Cartesian
2.604 2.604 2.604
0.000 0.000 0.000
0.000 2.604 0.000
0.000 0.000 2.604
2.604 0.000 0.000
```

## Properties
Energy above the lowest structure with this stoichiometry: 0.529 eV/atom
Calculated formation energy: 1.3560 eV per atom
DOS at the Fermi energy: 6.13 states/eV per cell
Density: 7848 kg/m3
Crystal system: cubic